The following is a DFT calculation (PBE) of an optimized crystal structure of Ba2AuO.

Computed properties:
E   -4.475 eV per atom

```
8
Lattice="3.990 0.000 0.000 0.000 8.392 0.000 0.000 0.000 7.107" Properties=species:S:1:pos:R:3 pbc="T T T"
Ba 0.000 0.265 0.000
Ba 0.000 5.319 1.166
Ba 1.995 3.073 4.720
Ba 1.995 8.127 3.554
Au 0.000 5.755 4.816
Au 1.995 2.637 1.263
O 0.000 1.194 4.728
O 1.995 7.198 1.174
```